Entry from Alexandria: a relaxed CsYO2F crystal (PBE-GGA).

Calculated values
Calculated density   4.2 g cm⁻³
Space group   P4/mmm
Total magnetization   0.931 μB/f.u.
Fermi-level density of states   3.520 states/eV per cell
Crystal system   tetragonal
E_form (uncorrected)   -0.528 eV/atom

Unit cell a=4.6434 b=4.6434 c=4.9671 alpha=90.00 beta=90.00 gamma=90.00
Last column: magnetic moment on the atom in μB.
Fractional coordinates of all 5 atoms:
Y  0.5000  0.5000  0.5000  0.33
F  0.0000  0.0000  0.5000  0.01
O  0.0000  0.5000  0.0000  0.13
O  0.5000  0.0000  0.0000  0.13
Cs  0.0000  0.0000  0.0000  0.10